1.
VASP calculation (PBE-GGA) on a relaxed CoTe2W crystal.

Computed properties:
ΔE_f (raw): 0.673 eV/atom
Volume: 72.0 Å³/f.u.
Symmetry: P4/mmm
DOS(E_F): 3.84 states/eV/cell
E above lowest polymorph: 589.5 meV/atom

Cell: 4.6359 4.6359 3.3494 Å, 90.00 90.00 90.00°
Last column: nearest neighbours and their distance in Å.
Fractional positions:
1 Co 0.0000 0.0000 0.0000  8 Te 2.86
2 Te 0.0000 0.5000 0.5000  4 W 2.86, 4 Co 2.86
3 Te 0.5000 0.0000 0.5000  4 W 2.86, 4 Co 2.86
4 W 0.5000 0.5000 0.0000  8 Te 2.86

2.
VASP calculation (PBE-GGA) on a relaxed CoTeW4 crystal.

Computed properties:
ΔE_f (raw): 0.951 eV/atom
Volume: 106.8 Å³/f.u.
Symmetry: F-43m
DOS(E_F): 9.14 states/eV/cell

Cell: 5.3255 5.3255 5.3255 Å, 60.00 60.00 60.00°
Last column: nearest neighbours and their distance in Å.
Fractional positions:
1 Co 0.0000 0.0000 0.0000  12 W 3.12, 4 Te 3.26
2 Te 0.7500 0.7500 0.7500  12 W 3.13, 4 Co 3.26
3 W 0.3735 0.3735 0.3735  6 W 2.63-2.69
4 W 0.3735 0.3735 0.8795  6 W 2.63-2.69
5 W 0.3735 0.8795 0.3735  6 W 2.63-2.69
6 W 0.8795 0.3735 0.3735  6 W 2.63-2.69

3.
VASP calculation (PBE-GGA) on a relaxed CoTe2W crystal.

Computed properties:
ΔE_f (raw): 0.507 eV/atom
Volume: 75.4 Å³/f.u.
Symmetry: R-3m
DOS(E_F): 10.77 states/eV/cell
E above lowest polymorph: 423.3 meV/atom

Cell: 3.3562 3.3562 23.1732 Å, 90.00 90.00 120.00°
Last column: nearest neighbours and their distance in Å.
Fractional positions:
1 Co 0.0000 0.0000 0.0000  6 Te 2.67
2 Co 0.3333 0.6667 0.6667  6 Te 2.67
3 Co 0.6667 0.3333 0.3333  6 Te 2.67
4 Te 0.0000 0.0000 0.2538  3 Co 2.67, 3 W 2.80
5 Te 0.0000 0.0000 0.7462  3 Co 2.67, 3 W 2.80
6 Te 0.3333 0.6667 0.4129  3 Co 2.67, 3 W 2.80
7 Te 0.3333 0.6667 0.9204  3 Co 2.67, 3 W 2.80
8 Te 0.6667 0.3333 0.0796  3 Co 2.67, 3 W 2.80
9 Te 0.6667 0.3333 0.5871  3 Co 2.67, 3 W 2.80
10 W 0.0000 0.0000 0.5000  6 Te 2.80
11 W 0.3333 0.6667 0.1667  6 Te 2.80
12 W 0.6667 0.3333 0.8333  6 Te 2.80

4.
VASP calculation (PBE-GGA) on a relaxed CoTe2W crystal.

Computed properties:
ΔE_f (raw): 0.136 eV/atom
Volume: 99.5 Å³/f.u.
Symmetry: Pm
DOS(E_F): 2.03 states/eV/cell
E above lowest polymorph: 51.6 meV/atom

Cell: 3.7798 3.7782 6.9680 Å, 90.00 90.07 90.00°
Last column: nearest neighbours and their distance in Å.
Fractional positions:
1 Co 0.0000 0.0000 0.0000  4 Te 2.67, 4 W 2.67-2.68
2 Te 0.0022 0.5000 0.2703  2 W 2.67, 2 Co 2.67
3 Te 0.4991 0.0000 0.7298  2 Co 2.67, 2 W 2.67
4 W 0.5013 0.5000 0.0001  4 Te 2.67, 4 Co 2.67-2.68

5.
VASP calculation (PBE-GGA) on a relaxed CoTe2W crystal.

Computed properties:
ΔE_f (raw): 0.248 eV/atom
Volume: 99.9 Å³/f.u.
Symmetry: Immm
DOS(E_F): 7.44 states/eV/cell
E above lowest polymorph: 164.6 meV/atom

Cell: 3.4930 3.8547 14.8451 Å, 90.00 90.00 90.00°
Last column: nearest neighbours and their distance in Å.
Fractional positions:
1 Co 0.0000 0.0000 0.0000  4 W 2.60, 4 Te 2.63
2 Co 0.5000 0.5000 0.5000  4 W 2.60, 4 Te 2.63
3 Te 0.0000 0.5000 0.3678  2 Co 2.63, 2 W 2.75
4 Te 0.0000 0.5000 0.6322  2 Co 2.63, 2 W 2.75
5 Te 0.5000 0.0000 0.1322  2 Co 2.63, 2 W 2.75
6 Te 0.5000 0.0000 0.8678  2 Co 2.63, 2 W 2.75
7 W 0.0000 0.0000 0.5000  4 Co 2.60, 4 Te 2.75
8 W 0.5000 0.5000 0.0000  4 Co 2.60, 4 Te 2.75

6.
VASP calculation (PBE-GGA) on a relaxed CoTe3W crystal.

Computed properties:
ΔE_f (raw): 1.212 eV/atom
Volume: 114.6 Å³/f.u.
Symmetry: Pm-3m
DOS(E_F): 6.57 states/eV/cell

Cell: 4.8575 4.8575 4.8575 Å, 90.00 90.00 90.00°
Last column: nearest neighbours and their distance in Å.
Fractional positions:
1 Co 0.0000 0.0000 0.0000  6 Te 2.43
2 Te 0.0000 0.0000 0.5000  2 Co 2.43
3 Te 0.0000 0.5000 0.0000  2 Co 2.43
4 Te 0.5000 0.0000 0.0000  2 Co 2.43
5 W 0.5000 0.5000 0.5000  12 Te 3.43

7.
VASP calculation (PBE-GGA) on a relaxed Co4TeW crystal.

Computed properties:
ΔE_f (raw): 0.395 eV/atom
Volume: 78.6 Å³/f.u.
Symmetry: F-43m
DOS(E_F): 9.38 states/eV/cell

Cell: 4.8091 4.8091 4.8091 Å, 60.00 60.00 60.00°
Last column: nearest neighbours and their distance in Å.
Fractional positions:
1 Co 0.1240 0.1240 0.1240  6 Co 2.39-2.42
2 Co 0.1240 0.1240 0.6279  6 Co 2.39-2.42
3 Co 0.1240 0.6279 0.1240  6 Co 2.39-2.42
4 Co 0.6279 0.1240 0.1240  6 Co 2.39-2.42
5 Te 0.5000 0.5000 0.5000  12 Co 2.82, 4 W 2.94
6 W 0.7500 0.7500 0.7500  12 Co 2.82, 4 Te 2.94

8.
VASP calculation (PBE-GGA) on a relaxed CoTe2W crystal.

Computed properties:
ΔE_f (raw): 0.986 eV/atom
Volume: 83.3 Å³/f.u.
Symmetry: C2/m
DOS(E_F): 11.61 states/eV/cell
E above lowest polymorph: 902.0 meV/atom

Cell: 6.6059 8.6731 2.9071 Å, 90.00 90.72 90.00°
Last column: nearest neighbours and their distance in Å.
Fractional positions:
1 Co 0.0000 0.0000 0.0000  4 Te 2.73, 2 Co 2.91
2 Co 0.5000 0.5000 0.0000  4 Te 2.73, 2 Co 2.91
3 Te 0.2500 0.2500 0.0000  2 W 2.73, 2 Co 2.73, 2 Te 2.91
4 Te 0.2500 0.7500 0.0000  2 W 2.73, 2 Co 2.73, 2 Te 2.91
5 Te 0.7500 0.2500 0.0000  2 W 2.73, 2 Co 2.73, 2 Te 2.91
6 Te 0.7500 0.7500 0.0000  2 W 2.73, 2 Co 2.73, 2 Te 2.91
7 W 0.0000 0.5000 0.0000  4 Te 2.73, 2 W 2.91
8 W 0.5000 0.0000 0.0000  4 Te 2.73, 2 W 2.91

9.
VASP calculation (PBE-GGA) on a relaxed CoTe4W crystal.

Computed properties:
ΔE_f (raw): 1.715 eV/atom
Volume: 166.2 Å³/f.u.
Symmetry: F-43m
DOS(E_F): 5.20 states/eV/cell

Cell: 6.1719 6.1719 6.1719 Å, 60.00 60.00 60.00°
Last column: nearest neighbours and their distance in Å.
Fractional positions:
1 Co 0.0000 0.0000 0.0000  12 Te 3.62, 4 W 3.78
2 Te 0.1247 0.6251 0.6251  6 Te 3.08-3.09
3 Te 0.6251 0.1247 0.6251  6 Te 3.08-3.09
4 Te 0.6251 0.6251 0.1247  6 Te 3.08-3.09
5 Te 0.6251 0.6251 0.6251  6 Te 3.08-3.09
6 W 0.2500 0.2500 0.2500  12 Te 3.62, 4 Co 3.78

10.
VASP calculation (PBE-GGA) on a relaxed YCoTe2 crystal.

Computed properties:
ΔE_f (raw): -0.549 eV/atom
Volume: 116.3 Å³/f.u.
Symmetry: R3m
DOS(E_F): 12.49 states/eV/cell

Cell: 4.2284 4.2284 22.5272 Å, 90.00 90.00 120.00°
Last column: nearest neighbours and their distance in Å.
Fractional positions:
1 Y 0.0000 0.0000 0.0000  6 Te 3.02-3.35, 3 Co 3.14
2 Y 0.3333 0.6667 0.6667  6 Te 3.02-3.35, 3 Co 3.14
3 Y 0.6667 0.3333 0.3333  6 Te 3.02-3.35, 3 Co 3.14
4 Co 0.0000 0.0000 0.2459  3 Te 2.46
5 Co 0.3333 0.6667 0.9126  3 Te 2.46
6 Co 0.6667 0.3333 0.5792  3 Te 2.46
7 Te 0.0000 0.0000 0.5647  3 Co 2.46
8 Te 0.0000 0.0000 0.7457  3 Y 3.02
9 Te 0.3333 0.6667 0.2313  3 Co 2.46
10 Te 0.3333 0.6667 0.4123  3 Y 3.02
11 Te 0.6667 0.3333 0.0790  3 Y 3.02
12 Te 0.6667 0.3333 0.8980  3 Co 2.46

11.
VASP calculation (PBE-GGA) on a relaxed YCo2Te crystal.

Computed properties:
ΔE_f (raw): 0.018 eV/atom
Volume: 72.1 Å³/f.u.
Symmetry: P4/mmm
DOS(E_F): 4.14 states/eV/cell

Cell: 3.4372 3.4372 6.1038 Å, 90.00 90.00 90.00°
Last column: nearest neighbours and their distance in Å.
Fractional positions:
1 Y 0.0000 0.0000 0.0000  8 Co 2.94, 2 Te 3.05
2 Co 0.5000 0.5000 0.2717  1 Co 2.79, 4 Te 2.80, 4 Y 2.94
3 Co 0.5000 0.5000 0.7283  1 Co 2.79, 4 Te 2.80, 4 Y 2.94
4 Te 0.0000 0.0000 0.5000  8 Co 2.80, 2 Y 3.05

12.
VASP calculation (PBE-GGA) on a relaxed YCo3Te crystal.

Computed properties:
ΔE_f (raw): 1.502 eV/atom
Volume: 105.6 Å³/f.u.
Symmetry: Pm-3m
DOS(E_F): 6.48 states/eV/cell
E above lowest polymorph: 1013.6 meV/atom

Cell: 4.7269 4.7269 4.7269 Å, 90.00 90.00 90.00°
Last column: nearest neighbours and their distance in Å.
Fractional positions:
1 Y 0.0000 0.0000 0.0000  6 Co 2.36
2 Co 0.0000 0.0000 0.5000  2 Y 2.36
3 Co 0.0000 0.5000 0.0000  2 Y 2.36
4 Co 0.5000 0.0000 0.0000  2 Y 2.36
5 Te 0.5000 0.5000 0.5000  12 Co 3.34

13.
VASP calculation (PBE-GGA) on a relaxed Y2CoTe crystal.

Computed properties:
ΔE_f (raw): -0.485 eV/atom
Volume: 107.9 Å³/f.u.
Symmetry: P4mm
DOS(E_F): 2.78 states/eV/cell

Cell: 4.0966 4.0966 6.4303 Å, 90.00 90.00 90.00°
Last column: nearest neighbours and their distance in Å.
Fractional positions:
1 Y 0.0000 0.0000 0.0000  1 Co 2.42
2 Y 0.5000 0.5000 0.3620  4 Co 2.90, 1 Te 3.11
3 Co 0.0000 0.0000 0.3769  1 Y 2.42
4 Te 0.5000 0.5000 0.8457  6 Y 3.06-3.32

14.
VASP calculation (PBE-GGA) on a relaxed YCo2Te crystal.

Computed properties:
ΔE_f (raw): -0.166 eV/atom
Volume: 82.2 Å³/f.u.
Symmetry: Pmmm
DOS(E_F): 3.77 states/eV/cell

Cell: 3.8639 4.0976 5.1905 Å, 90.00 90.00 90.00°
Last column: nearest neighbours and their distance in Å.
Fractional positions:
1 Y 0.0000 0.0000 0.0000  8 Co 3.03, 4 Te 3.24
2 Co 0.5000 0.5000 0.2142  1 Co 2.22
3 Co 0.5000 0.5000 0.7858  1 Co 2.22
4 Te 0.5000 0.0000 0.5000  4 Co 2.53